(1)
{"formula": "Nd2SmHo5", "functional": "PBE-GGA", "state": "relaxed", "n_ef_per_ev_cell": 23.904, "sg": "C2/c", "crystal_system": "monoclinic", "polymorph_energy_ev_per_atom": 0.151, "delta_e_f_ev_per_atom": 0.1707, "lattice_angstrom": [[9.112, 0.000, -3.898], [-1.005, 6.001, -2.349], [-0.814, -1.772, 10.697]], "species": ["Ho", "Ho", "Ho", "Ho", "Ho", "Ho", "Ho", "Ho", "Ho", "Ho", "Sm", "Sm", "Nd", "Nd", "Nd", "Nd"], "fractional_positions": [[0.058, 0.250, 0.000], [0.312, 0.946, 0.801], [0.942, 0.750, 0.000], [0.286, 0.870, 0.394], [0.892, 0.630, 0.606], [0.511, 0.554, 0.199], [0.688, 0.054, 0.199], [0.108, 0.370, 0.394], [0.489, 0.446, 0.801], [0.714, 0.130, 0.606], [0.000, 0.000, 0.500], [0.500, 0.500, 0.500], [0.824, 0.541, 0.156], [0.176, 0.459, 0.844], [0.331, 0.041, 0.156], [0.669, 0.959, 0.844]]}

(2)
{"formula": "Nd2Sm3Ho3", "functional": "PBE-GGA", "state": "relaxed", "n_ef_per_ev_cell": 12.101, "sg": "Immm", "crystal_system": "orthorhombic", "polymorph_energy_ev_per_atom": 0.000, "delta_e_f_ev_per_atom": 0.0189, "lattice_angstrom": [[-4.943, -0.606, -1.075], [-0.940, -1.033, 4.904], [1.344, 10.704, -0.137]], "species": ["Sm", "Sm", "Sm", "Ho", "Ho", "Ho", "Nd", "Nd"], "fractional_positions": [[0.623, 0.623, 0.246], [0.377, 0.377, 0.754], [0.500, 0.000, 0.000], [0.000, 0.500, 0.000], [0.124, 0.124, 0.247], [0.876, 0.876, 0.753], [0.750, 0.250, 0.500], [0.250, 0.750, 0.500]]}

(3)
{"formula": "Nd7Sm2Ho4", "functional": "PBE-GGA", "state": "relaxed", "n_ef_per_ev_cell": 18.560, "sg": "P-1", "crystal_system": "triclinic", "delta_e_f_ev_per_atom": 0.0162, "lattice_angstrom": [[-8.723, 1.006, -3.868], [-0.233, -0.577, -8.080], [-0.518, -6.114, 1.258]], "species": ["Nd", "Nd", "Nd", "Nd", "Nd", "Nd", "Nd", "Sm", "Sm", "Ho", "Ho", "Ho", "Ho"], "fractional_positions": [[0.538, 0.768, 0.387], [0.000, 0.000, 0.000], [0.306, 0.154, 0.076], [0.462, 0.232, 0.613], [0.923, 0.462, 0.232], [0.694, 0.846, 0.924], [0.077, 0.538, 0.768], [0.616, 0.309, 0.155], [0.384, 0.691, 0.845], [0.229, 0.618, 0.307], [0.771, 0.382, 0.693], [0.152, 0.075, 0.538], [0.848, 0.925, 0.462]]}

(4)
{"formula": "Nd15SmHo4", "functional": "PBE-GGA", "state": "relaxed", "n_ef_per_ev_cell": 27.441, "sg": "P4/mmm", "crystal_system": "tetragonal", "delta_e_f_ev_per_atom": 0.0120, "lattice_angstrom": [[-4.320, -2.757, -0.635], [2.638, -4.344, 0.915], [-5.090, 2.198, 25.104]], "species": ["Nd", "Nd", "Nd", "Nd", "Nd", "Nd", "Nd", "Nd", "Nd", "Nd", "Nd", "Nd", "Nd", "Nd", "Nd", "Ho", "Ho", "Ho", "Ho", "Sm"], "fractional_positions": [[0.500, 0.000, 0.899], [0.000, 0.500, 0.101], [0.500, 0.500, 0.000], [0.500, 0.500, 0.600], [0.000, 0.500, 0.700], [0.000, 0.500, 0.500], [0.500, 0.500, 0.400], [0.500, 0.500, 0.799], [0.500, 0.000, 0.101], [0.000, 0.500, 0.300], [0.500, 0.000, 0.500], [0.500, 0.000, 0.300], [0.000, 0.500, 0.899], [0.500, 0.000, 0.700], [0.500, 0.500, 0.201], [0.000, 0.000, 0.799], [0.000, 0.000, 0.600], [0.000, 0.000, 0.201], [0.000, 0.000, 0.400], [0.000, 0.000, 0.000]]}

(5)
{"formula": "Nd3SmHo7", "functional": "PBE-GGA", "state": "relaxed", "n_ef_per_ev_cell": 16.672, "sg": "P2/m", "crystal_system": "monoclinic", "polymorph_energy_ev_per_atom": 0.000, "delta_e_f_ev_per_atom": 0.1478, "lattice_angstrom": [[-3.736, 0.152, -4.081], [1.669, -9.747, -1.889], [-1.369, 0.586, 8.777]], "species": ["Ho", "Ho", "Ho", "Ho", "Ho", "Ho", "Ho", "Sm", "Nd", "Nd", "Nd"], "fractional_positions": [[0.682, 0.362, 0.182], [0.856, 0.711, 0.356], [0.087, 0.170, 0.087], [0.144, 0.289, 0.644], [0.913, 0.830, 0.913], [0.500, 0.000, 0.500], [0.318, 0.638, 0.818], [0.500, 0.500, 0.500], [0.717, 0.999, 0.216], [0.283, 0.001, 0.784], [0.000, 0.500, 0.000]]}

(6)
{"formula": "Nd3Sm7Ho", "functional": "PBE-GGA", "state": "relaxed", "n_ef_per_ev_cell": 16.507, "sg": "Immm", "crystal_system": "orthorhombic", "polymorph_energy_ev_per_atom": 0.012, "delta_e_f_ev_per_atom": 0.2426, "lattice_angstrom": [[5.943, -0.187, -0.239], [-2.682, 8.057, 1.102], [-2.682, -0.885, 8.084]], "species": ["Nd", "Nd", "Nd", "Ho", "Sm", "Sm", "Sm", "Sm", "Sm", "Sm", "Sm"], "fractional_positions": [[0.000, 0.790, 0.210], [0.000, 0.210, 0.790], [0.500, 0.000, 0.000], [0.500, 0.500, 0.500], [0.301, 0.597, 0.005], [0.209, 0.208, 0.208], [0.791, 0.792, 0.792], [0.301, 0.005, 0.597], [0.699, 0.403, 0.995], [0.000, 0.500, 0.500], [0.699, 0.995, 0.403]]}

(7)
{"formula": "Nd6SmHo2", "functional": "PBE-GGA", "state": "relaxed", "n_ef_per_ev_cell": 25.114, "sg": "C2/c", "crystal_system": "monoclinic", "polymorph_energy_ev_per_atom": 0.000, "delta_e_f_ev_per_atom": 0.0571, "lattice_angstrom": [[-2.798, 3.208, 3.897], [-7.292, -9.515, -1.667], [0.024, -11.079, 4.873]], "species": ["Sm", "Sm", "Nd", "Nd", "Nd", "Nd", "Nd", "Nd", "Nd", "Nd", "Nd", "Nd", "Nd", "Nd", "Ho", "Ho", "Ho", "Ho"], "fractional_positions": [[0.750, 0.750, 0.250], [0.250, 0.250, 0.750], [0.338, 0.002, 0.168], [0.166, 0.498, 0.332], [0.662, 0.998, 0.832], [0.419, 0.420, 0.919], [0.834, 0.502, 0.668], [0.919, 0.919, 0.420], [0.666, 0.332, 0.498], [0.581, 0.580, 0.081], [0.838, 0.168, 0.002], [0.162, 0.832, 0.998], [0.081, 0.081, 0.580], [0.334, 0.668, 0.502], [0.503, 0.833, 0.667], [0.003, 0.667, 0.833], [0.997, 0.333, 0.167], [0.497, 0.167, 0.333]]}

(8)
{"formula": "Nd5SmHo2", "functional": "PBE-GGA", "state": "relaxed", "n_ef_per_ev_cell": 22.665, "sg": "P2_1/m", "crystal_system": "monoclinic", "polymorph_energy_ev_per_atom": 0.212, "delta_e_f_ev_per_atom": 0.2257, "lattice_angstrom": [[1.731, 5.848, 3.853], [-10.004, -7.044, -8.394], [-3.922, -4.293, 8.276]], "species": ["Nd", "Nd", "Nd", "Nd", "Nd", "Nd", "Nd", "Nd", "Nd", "Nd", "Sm", "Sm", "Ho", "Ho", "Ho", "Ho"], "fractional_positions": [[0.749, 0.001, 0.529], [0.251, 0.999, 0.029], [0.749, 0.001, 0.971], [0.478, 0.277, 0.250], [0.366, 0.639, 0.406], [0.251, 0.999, 0.471], [0.634, 0.361, 0.906], [0.522, 0.723, 0.750], [0.366, 0.639, 0.094], [0.634, 0.361, 0.594], [0.002, 0.717, 0.750], [0.998, 0.283, 0.250], [0.861, 0.634, 0.091], [0.139, 0.366, 0.591], [0.139, 0.366, 0.909], [0.861, 0.634, 0.409]]}

(9)
{"formula": "Nd12Sm3Ho", "functional": "PBE-GGA", "state": "relaxed", "n_ef_per_ev_cell": 24.651, "sg": "P4/mmm", "crystal_system": "tetragonal", "delta_e_f_ev_per_atom": 0.0125, "lattice_angstrom": [[-1.532, 2.592, 4.212], [3.020, -3.001, 2.946], [15.646, 13.298, -2.490]], "species": ["Nd", "Nd", "Nd", "Nd", "Nd", "Nd", "Nd", "Nd", "Nd", "Nd", "Nd", "Nd", "Sm", "Sm", "Sm", "Ho"], "fractional_positions": [[0.500, 0.000, 0.124], [0.000, 0.500, 0.375], [0.500, 0.000, 0.375], [0.000, 0.500, 0.625], [0.500, 0.500, 0.751], [0.500, 0.500, 0.249], [0.500, 0.000, 0.625], [0.500, 0.000, 0.876], [0.500, 0.500, 0.000], [0.000, 0.500, 0.876], [0.000, 0.500, 0.124], [0.500, 0.500, 0.500], [0.000, 0.000, 0.500], [0.000, 0.000, 0.751], [0.000, 0.000, 0.249], [0.000, 0.000, 0.000]]}

(10)
{"formula": "NdSmHo4", "functional": "PBE-GGA", "state": "relaxed", "n_ef_per_ev_cell": 15.524, "sg": "P2_1/m", "crystal_system": "monoclinic", "polymorph_energy_ev_per_atom": 0.114, "delta_e_f_ev_per_atom": 0.1340, "lattice_angstrom": [[-2.116, -0.859, 5.888], [3.378, -7.955, -3.233], [6.531, 1.717, 2.598]], "species": ["Ho", "Ho", "Ho", "Ho", "Ho", "Ho", "Ho", "Ho", "Nd", "Nd", "Sm", "Sm"], "fractional_positions": [[0.141, 0.790, 0.997], [0.859, 0.210, 0.003], [0.236, 0.498, 0.750], [0.685, 0.864, 0.250], [0.141, 0.790, 0.503], [0.764, 0.502, 0.250], [0.315, 0.136, 0.750], [0.859, 0.210, 0.497], [0.325, 0.129, 0.250], [0.675, 0.871, 0.750], [0.267, 0.502, 0.250], [0.733, 0.498, 0.750]]}

(11)
{"formula": "Nd5Sm3Ho3", "functional": "PBE-GGA", "state": "relaxed", "n_ef_per_ev_cell": 19.611, "sg": "P-62m", "crystal_system": "hexagonal", "polymorph_energy_ev_per_atom": 0.441, "delta_e_f_ev_per_atom": 0.7550, "lattice_angstrom": [[5.514, 0.000, 0.000], [0.000, 9.806, 0.000], [0.000, -4.903, 8.492]], "species": ["Sm", "Sm", "Sm", "Nd", "Nd", "Nd", "Nd", "Nd", "Ho", "Ho", "Ho"], "fractional_positions": [[0.000, 0.432, 0.432], [0.000, 0.568, 0.000], [0.000, 0.000, 0.568], [0.500, 0.268, 0.268], [0.500, 0.333, 0.667], [0.500, 0.732, 0.000], [0.500, 0.667, 0.333], [0.500, 0.000, 0.732], [0.500, 0.000, 0.367], [0.500, 0.367, 0.000], [0.500, 0.633, 0.633]]}

(12)
{"formula": "Nd2Sm5Ho2", "functional": "PBE-GGA", "state": "relaxed", "n_ef_per_ev_cell": 17.789, "sg": "C2/m", "crystal_system": "monoclinic", "polymorph_energy_ev_per_atom": 0.000, "delta_e_f_ev_per_atom": 0.1156, "lattice_angstrom": [[-0.237, -1.525, -5.803], [-0.559, -5.286, 4.518], [-8.522, -4.497, 1.529]], "species": ["Ho", "Ho", "Sm", "Sm", "Sm", "Sm", "Sm", "Nd", "Nd"], "fractional_positions": [[0.335, 0.671, 0.665], [0.665, 0.329, 0.335], [0.000, 0.000, 0.000], [0.785, 0.571, 0.879], [0.119, 0.237, 0.548], [0.215, 0.429, 0.121], [0.881, 0.763, 0.452], [0.547, 0.094, 0.786], [0.453, 0.906, 0.214]]}

(13)
{"formula": "Nd6Sm2Ho3", "functional": "PBE-GGA", "state": "relaxed", "n_ef_per_ev_cell": 16.168, "sg": "I4/mmm", "crystal_system": "tetragonal", "polymorph_energy_ev_per_atom": 0.272, "delta_e_f_ev_per_atom": 0.2871, "lattice_angstrom": [[-1.792, -4.057, -1.799], [3.907, -0.522, -2.715], [6.447, -6.570, 14.763]], "species": ["Nd", "Nd", "Nd", "Nd", "Nd", "Nd", "Ho", "Ho", "Ho", "Sm", "Sm"], "fractional_positions": [[0.621, 0.121, 0.242], [0.379, 0.879, 0.758], [0.296, 0.296, 0.592], [0.121, 0.621, 0.242], [0.879, 0.379, 0.758], [0.704, 0.704, 0.408], [0.000, 0.000, 0.000], [0.805, 0.805, 0.609], [0.195, 0.195, 0.391], [0.545, 0.545, 0.090], [0.455, 0.455, 0.910]]}

(14)
{"formula": "Nd2Sm7Ho4", "functional": "PBE-GGA", "state": "relaxed", "n_ef_per_ev_cell": 16.251, "sg": "P-1", "crystal_system": "triclinic", "delta_e_f_ev_per_atom": 0.0135, "lattice_angstrom": [[8.659, -4.018, -0.006], [-8.672, 12.072, 0.155], [-0.405, 0.672, 6.181]], "species": ["Nd", "Nd", "Sm", "Sm", "Sm", "Sm", "Sm", "Sm", "Sm", "Ho", "Ho", "Ho", "Ho"], "fractional_positions": [[0.690, 0.307, 0.845], [0.310, 0.693, 0.155], [0.769, 0.230, 0.386], [0.462, 0.538, 0.232], [0.000, 0.000, 0.000], [0.538, 0.462, 0.768], [0.151, 0.845, 0.075], [0.849, 0.155, 0.925], [0.231, 0.770, 0.614], [0.611, 0.383, 0.307], [0.075, 0.923, 0.537], [0.389, 0.617, 0.693], [0.925, 0.077, 0.463]]}

(15)
{"formula": "NdSm12Ho2", "functional": "PBE-GGA", "state": "relaxed", "n_ef_per_ev_cell": 44.805, "sg": "Cmme", "crystal_system": "orthorhombic", "delta_e_f_ev_per_atom": 0.1598, "lattice_angstrom": [[-5.689, -3.363, -1.481], [5.796, -3.423, -0.750], [-1.541, -7.777, 23.573]], "species": ["Sm", "Sm", "Sm", "Sm", "Sm", "Sm", "Sm", "Sm", "Sm", "Sm", "Sm", "Sm", "Sm", "Sm", "Sm", "Sm", "Sm", "Sm", "Sm", "Sm", "Sm", "Sm", "Sm", "Sm", "Ho", "Ho", "Ho", "Ho", "Nd", "Nd"], "fractional_positions": [[0.248, 0.748, 0.131], [0.732, 0.232, 0.414], [0.000, 0.000, 0.674], [0.500, 0.500, 0.800], [0.748, 0.752, 0.077], [0.500, 0.500, 0.674], [0.500, 0.500, 0.200], [0.752, 0.748, 0.923], [0.273, 0.227, 0.560], [0.248, 0.252, 0.923], [0.748, 0.248, 0.869], [0.752, 0.252, 0.131], [0.232, 0.732, 0.586], [0.000, 0.000, 0.326], [0.252, 0.248, 0.077], [0.252, 0.752, 0.869], [0.000, 0.000, 0.800], [0.773, 0.727, 0.440], [0.227, 0.273, 0.440], [0.727, 0.773, 0.560], [0.768, 0.268, 0.586], [0.000, 0.000, 0.200], [0.500, 0.500, 0.326], [0.268, 0.768, 0.414], [0.000, 0.500, 0.733], [0.500, 0.000, 0.267], [0.500, 0.000, 0.729], [0.000, 0.500, 0.271], [0.000, 0.500, 0.001], [0.500, 0.000, 0.999]]}

(16)
{"formula": "Nd5Sm2Ho5", "functional": "PBE-GGA", "state": "relaxed", "n_ef_per_ev_cell": 17.481, "sg": "C2/m", "crystal_system": "monoclinic", "delta_e_f_ev_per_atom": 0.0171, "lattice_angstrom": [[-4.351, 2.056, -1.654], [-5.994, -5.177, 1.505], [-4.875, 3.298, 9.094]], "species": ["Sm", "Sm", "Ho", "Ho", "Ho", "Ho", "Ho", "Nd", "Nd", "Nd", "Nd", "Nd"], "fractional_positions": [[0.083, 0.586, 0.248], [0.917, 0.414, 0.752], [0.582, 0.084, 0.751], [0.500, 0.500, 0.500], [0.418, 0.916, 0.249], [0.667, 0.666, 0.000], [0.333, 0.334, 0.000], [0.751, 0.251, 0.248], [0.249, 0.749, 0.752], [0.165, 0.169, 0.501], [0.835, 0.831, 0.499], [0.000, 0.000, 0.000]]}

(17)
{"formula": "NdSm3Ho6", "functional": "PBE-GGA", "state": "relaxed", "n_ef_per_ev_cell": 29.250, "sg": "Cmc2_1", "crystal_system": "orthorhombic", "polymorph_energy_ev_per_atom": 0.000, "delta_e_f_ev_per_atom": 0.1490, "lattice_angstrom": [[6.233, 0.000, 0.000], [0.000, 10.877, -1.589], [0.000, -3.976, 10.248]], "species": ["Ho", "Ho", "Ho", "Ho", "Ho", "Ho", "Ho", "Ho", "Ho", "Ho", "Ho", "Ho", "Sm", "Sm", "Sm", "Sm", "Sm", "Sm", "Nd", "Nd"], "fractional_positions": [[0.369, 0.538, 0.960], [0.140, 0.719, 0.281], [0.035, 0.382, 0.288], [0.406, 0.955, 0.045], [0.640, 0.281, 0.719], [0.369, 0.040, 0.462], [0.535, 0.618, 0.712], [0.906, 0.045, 0.955], [0.869, 0.462, 0.040], [0.535, 0.288, 0.382], [0.035, 0.712, 0.618], [0.869, 0.960, 0.538], [0.461, 0.937, 0.717], [0.961, 0.063, 0.283], [0.961, 0.717, 0.937], [0.461, 0.283, 0.063], [0.568, 0.609, 0.391], [0.068, 0.391, 0.609], [0.142, 0.204, 0.796], [0.642, 0.796, 0.204]]}

(18)
{"formula": "Nd3SmHo3", "functional": "PBE-GGA", "state": "relaxed", "n_ef_per_ev_cell": 24.761, "sg": "P6_3/m", "crystal_system": "hexagonal", "polymorph_energy_ev_per_atom": 0.000, "delta_e_f_ev_per_atom": 0.0241, "lattice_angstrom": [[-3.242, -1.338, -4.602], [-6.875, -3.481, 5.856], [-0.132, 9.318, -2.615]], "species": ["Ho", "Ho", "Ho", "Ho", "Ho", "Ho", "Nd", "Nd", "Nd", "Nd", "Nd", "Nd", "Sm", "Sm"], "fractional_positions": [[0.750, 0.767, 0.954], [0.750, 0.187, 0.233], [0.250, 0.813, 0.767], [0.250, 0.233, 0.046], [0.250, 0.954, 0.187], [0.750, 0.046, 0.813], [0.750, 0.621, 0.526], [0.250, 0.379, 0.474], [0.750, 0.474, 0.096], [0.250, 0.526, 0.904], [0.750, 0.904, 0.379], [0.250, 0.096, 0.621], [0.250, 0.667, 0.333], [0.750, 0.333, 0.667]]}

(19)
{"formula": "Nd2SmHo8", "functional": "PBE-GGA", "state": "relaxed", "n_ef_per_ev_cell": 15.408, "sg": "C2/m", "crystal_system": "monoclinic", "polymorph_energy_ev_per_atom": 0.043, "delta_e_f_ev_per_atom": 0.1583, "lattice_angstrom": [[0.227, -5.102, 2.961], [7.470, -5.069, 0.491], [5.975, 1.408, 6.868]], "species": ["Ho", "Ho", "Ho", "Ho", "Ho", "Ho", "Ho", "Ho", "Nd", "Nd", "Sm"], "fractional_positions": [[0.173, 0.669, 0.232], [0.500, 0.208, 0.584], [0.827, 0.331, 0.768], [0.827, 0.098, 0.232], [0.704, 0.571, 0.000], [0.173, 0.902, 0.768], [0.296, 0.429, 0.000], [0.500, 0.792, 0.416], [0.000, 0.306, 0.387], [0.000, 0.694, 0.613], [0.500, 0.000, 0.000]]}